A plane-wave DFT calculation with PBE was carried out for a relaxed structure of Pm3ErAg3.

Values from the calculation:
- E_form (eV per atom) = -0.12
- total magnetization (μB per formula unit) = 0.00
- E_tot (eV/atom) = -4.03

```
14
Lattice="-3.397 -6.465 -1.172 5.105 -1.088 -5.241 4.239 -2.987 4.910" Properties=species:S:1:pos:R:3 pbc="T T T"
Pm 5.708 -3.540 -2.060
Pm 2.657 -5.931 -2.286
Pm -1.098 -5.011 -2.272
Pm 3.290 -4.608 0.783
Pm 0.239 -6.999 0.558
Pm 2.806 -2.542 -4.140
Ag 3.729 -1.420 -1.354
Ag 2.346 -7.569 -5.101
Ag 2.218 -9.119 -0.149
Ag -0.542 -4.121 0.690
Ag 3.601 -2.970 3.599
Ag 6.489 -6.419 -2.193
Er 4.937 -8.218 -0.545
Er 1.010 -2.322 -0.958
```